Material: Te3PPt
Method: DFT, PBE-GGA
State: relaxed

abc: 5.2662 5.2662 5.2662
angles: 90.00 90.00 90.00
Atoms (fractional coordinates):
1 Te 0.0000 0.0000 0.5000
2 Te 0.0000 0.5000 0.0000
3 Te 0.5000 0.0000 0.0000
4 P 0.5000 0.5000 0.5000
5 Pt 0.0000 0.0000 0.0000

Properties
The spin magnetization is 0.000 μB/atom. The density of states at the Fermi level comes out at 1.12 states/eV per atom. The final energy comes out at -3.4123 eV/atom. For the raw formation energy, the calculation gives 0.763 eV per atom.

---

Material: TeP2Pt3
Method: DFT, PBE-GGA
State: relaxed

abc: 7.3627 7.3627 4.5212
angles: 90.00 90.00 120.00
Atoms (fractional coordinates):
1 Te 0.3333 0.6667 0.3887
2 Te 0.6667 0.3333 0.6113
3 P 0.0000 0.0000 0.0000
4 P 0.0000 0.5000 0.0000
5 P 0.5000 0.0000 0.0000
6 P 0.5000 0.5000 0.0000
7 Pt 0.1581 0.3162 0.7232
8 Pt 0.1581 0.8419 0.7232
9 Pt 0.3162 0.1581 0.2768
10 Pt 0.6838 0.8419 0.7232
11 Pt 0.8419 0.1581 0.2768
12 Pt 0.8419 0.6838 0.2768

Properties
The spin magnetization is 0.000 μB/atom. The density of states at the Fermi level comes out at 0.53 states/eV per atom. The final energy comes out at -5.4899 eV/atom. For the raw formation energy, the calculation gives -0.143 eV per atom.

---

Material: Te2PPt
Method: DFT, PBE-GGA
State: relaxed

abc: 3.3886 3.3886 7.2014
angles: 90.00 90.00 90.00
Atoms (fractional coordinates):
1 Te 0.0000 0.0000 0.2465
2 Te 0.0000 0.0000 0.7535
3 P 0.5000 0.5000 0.5000
4 Pt 0.5000 0.5000 0.0000

Properties
The spin magnetization is 0.000 μB/atom. The density of states at the Fermi level comes out at 0.72 states/eV per atom. The final energy comes out at -3.9908 eV/atom. For the raw formation energy, the calculation gives 0.443 eV per atom.

---

Material: Te2PPt
Method: DFT, PBE-GGA
State: relaxed

abc: 6.3704 6.3704 6.3704
angles: 146.14 136.57 56.18
Atoms (fractional coordinates):
1 Te 0.0000 0.0000 0.0000
2 Te 0.6915 0.1915 0.5000
3 P 0.3242 0.3242 0.0000
4 Pt 0.1821 0.6821 0.5000

Properties
The spin magnetization is 0.000 μB/atom. The density of states at the Fermi level comes out at 0.48 states/eV per atom. The final energy comes out at -4.3400 eV/atom. For the raw formation energy, the calculation gives 0.094 eV per atom.

---

Question: Look up the spin magnetization of the second one.
Answer: 0.000 μB/atom